{"formula": "Pr2Tm3Th3", "functional": "PBE", "state": "relaxed", "lattice_angstrom": [[9.0844, 0.0000, 0.0000], [-4.5422, 7.8674, 0.0000], [0.0000, 0.0000, 3.6558]], "species": ["Pr", "Pr", "Tm", "Tm", "Tm", "Th", "Th", "Th"], "frac_coords": [[0.3333, 0.6667, 0.0000], [0.6667, 0.3333, 0.0000], [0.0000, 0.6066, 0.5000], [0.3934, 0.3934, 0.5000], [0.6066, 0.0000, 0.5000], [0.0000, 0.2258, 0.0000], [0.2258, 0.0000, 0.0000], [0.7742, 0.7742, 0.0000]], "formation_energy_ev_per_atom": 0.16, "n_ef_per_ev_atom": 1.354, "dft_energy_ev_per_atom": -5.491}

{"formula": "PrTmTh2", "functional": "PBE", "state": "relaxed", "lattice_angstrom": [[3.5754, 0.0000, 0.0000], [-1.7877, 3.0964, 0.0000], [0.0000, 0.0000, 35.2851]], "species": ["Pr", "Pr", "Pr", "Tm", "Tm", "Tm", "Th", "Th", "Th", "Th", "Th", "Th"], "frac_coords": [[0.0000, 0.0000, 0.0000], [0.3333, 0.6667, 0.6667], [0.6667, 0.3333, 0.3333], [0.0000, 0.0000, 0.8303], [0.3333, 0.6667, 0.4970], [0.6667, 0.3333, 0.1636], [0.0000, 0.0000, 0.2457], [0.0000, 0.0000, 0.4170], [0.3333, 0.6667, 0.0836], [0.3333, 0.6667, 0.9124], [0.6667, 0.3333, 0.5791], [0.6667, 0.3333, 0.7503]], "formation_energy_ev_per_atom": 0.05, "n_ef_per_ev_atom": 1.384, "dft_energy_ev_per_atom": -5.969, "relative_energy_kcal_per_mol_atoms": 0.54}

{"formula": "Pr2Tm2Th", "functional": "PBE", "state": "relaxed", "lattice_angstrom": [[3.6055, 0.0000, 0.0000], [-1.8028, 3.1225, 0.0000], [0.0000, 0.0000, 43.6740]], "species": ["Pr", "Pr", "Pr", "Pr", "Pr", "Pr", "Tm", "Tm", "Tm", "Tm", "Tm", "Tm", "Th", "Th", "Th"], "frac_coords": [[0.0000, 0.0000, 0.2015], [0.0000, 0.0000, 0.7985], [0.3333, 0.6667, 0.4651], [0.3333, 0.6667, 0.8682], [0.6667, 0.3333, 0.1318], [0.6667, 0.3333, 0.5349], [0.0000, 0.0000, 0.3969], [0.0000, 0.0000, 0.6031], [0.3333, 0.6667, 0.0636], [0.3333, 0.6667, 0.2697], [0.6667, 0.3333, 0.7303], [0.6667, 0.3333, 0.9364], [0.0000, 0.0000, 0.0000], [0.3333, 0.6667, 0.6667], [0.6667, 0.3333, 0.3333]], "formation_energy_ev_per_atom": 0.02, "n_ef_per_ev_atom": 1.162, "dft_energy_ev_per_atom": -5.166, "relative_energy_kcal_per_mol_atoms": 0.00}

{"formula": "PrTm6Th2", "functional": "PBE", "state": "relaxed", "lattice_angstrom": [[6.3418, -7.0564, 0.0000], [6.3418, 7.0564, 0.0000], [-1.2986, 0.0000, 6.4206]], "species": ["Pr", "Pr", "Tm", "Tm", "Tm", "Tm", "Tm", "Tm", "Tm", "Tm", "Tm", "Tm", "Tm", "Tm", "Th", "Th", "Th", "Th"], "frac_coords": [[0.1164, 0.8836, 0.7500], [0.8836, 0.1164, 0.2500], [0.0526, 0.2240, 0.8174], [0.0597, 0.4583, 0.2682], [0.2240, 0.0526, 0.3174], [0.2746, 0.6562, 0.9976], [0.3438, 0.7254, 0.5024], [0.4583, 0.0597, 0.7682], [0.5417, 0.9403, 0.2318], [0.6562, 0.2746, 0.4976], [0.7254, 0.3438, 0.0024], [0.7760, 0.9474, 0.6826], [0.9403, 0.5417, 0.7318], [0.9474, 0.7760, 0.1826], [0.3393, 0.3915, 0.6218], [0.3915, 0.3393, 0.1218], [0.6085, 0.6607, 0.8782], [0.6607, 0.6085, 0.3782]], "formation_energy_ev_per_atom": 0.14, "n_ef_per_ev_atom": 1.275, "dft_energy_ev_per_atom": -5.025, "relative_energy_kcal_per_mol_atoms": 0.00}

{"formula": "Pr4Tm15Th", "functional": "PBE", "state": "relaxed", "lattice_angstrom": [[5.0104, 0.0000, 0.0000], [0.0000, 5.0104, 0.0000], [0.0000, 0.0000, 24.9708]], "species": ["Pr", "Pr", "Pr", "Pr", "Tm", "Tm", "Tm", "Tm", "Tm", "Tm", "Tm", "Tm", "Tm", "Tm", "Tm", "Tm", "Tm", "Tm", "Tm", "Th"], "frac_coords": [[0.0000, 0.0000, 0.1004], [0.0000, 0.0000, 0.3015], [0.0000, 0.0000, 0.6985], [0.0000, 0.0000, 0.8996], [0.0000, 0.5000, 0.0000], [0.0000, 0.5000, 0.2010], [0.0000, 0.5000, 0.4024], [0.0000, 0.5000, 0.5976], [0.0000, 0.5000, 0.7990], [0.5000, 0.0000, 0.0000], [0.5000, 0.0000, 0.2010], [0.5000, 0.0000, 0.4024], [0.5000, 0.0000, 0.5976], [0.5000, 0.0000, 0.7990], [0.5000, 0.5000, 0.1006], [0.5000, 0.5000, 0.3010], [0.5000, 0.5000, 0.5000], [0.5000, 0.5000, 0.6990], [0.5000, 0.5000, 0.8994], [0.0000, 0.0000, 0.5000]], "formation_energy_ev_per_atom": 0.03, "n_ef_per_ev_atom": 1.518, "dft_energy_ev_per_atom": -4.651}

{"formula": "Pr4Tm10Th", "functional": "PBE", "state": "relaxed", "lattice_angstrom": [[-5.6032, 5.6032, 4.0175], [5.6032, -5.6032, 4.0175], [5.6032, 5.6032, -4.0175]], "species": ["Pr", "Pr", "Pr", "Pr", "Tm", "Tm", "Tm", "Tm", "Tm", "Tm", "Tm", "Tm", "Tm", "Tm", "Th"], "frac_coords": [[0.2251, 0.2251, 0.4501], [0.2251, 0.7749, 0.0000], [0.7749, 0.2251, 0.0000], [0.7749, 0.7749, 0.5499], [0.0911, 0.2968, 0.7943], [0.2500, 0.7500, 0.5000], [0.2968, 0.0911, 0.7943], [0.2968, 0.5025, 0.2057], [0.4975, 0.7032, 0.7943], [0.5025, 0.2968, 0.2057], [0.7032, 0.4975, 0.7943], [0.7032, 0.9089, 0.2057], [0.7500, 0.2500, 0.5000], [0.9089, 0.7032, 0.2057], [0.0000, 0.0000, 0.0000]], "formation_energy_ev_per_atom": 0.26, "n_ef_per_ev_atom": 1.154, "dft_energy_ev_per_atom": -4.492}

{"formula": "Pr3Tm2Th", "functional": "PBE", "state": "relaxed", "lattice_angstrom": [[11.0426, -1.8203, 0.0000], [11.0426, 1.8203, 0.0000], [-6.1173, 0.0000, 10.0589]], "species": ["Pr", "Pr", "Pr", "Pr", "Pr", "Pr", "Tm", "Tm", "Tm", "Tm", "Th", "Th"], "frac_coords": [[0.0582, 0.0582, 0.4237], [0.2680, 0.2680, 0.3855], [0.3870, 0.3870, 0.2590], [0.6130, 0.6130, 0.7410], [0.7320, 0.7320, 0.6145], [0.9418, 0.9418, 0.5763], [0.0559, 0.0559, 0.9335], [0.2809, 0.2809, 0.9115], [0.7191, 0.7191, 0.0885], [0.9441, 0.9441, 0.0665], [0.3923, 0.3923, 0.7772], [0.6077, 0.6077, 0.2228]], "formation_energy_ev_per_atom": 0.05, "n_ef_per_ev_atom": 1.694, "dft_energy_ev_per_atom": -5.068, "relative_energy_kcal_per_mol_atoms": 0.00}

{"formula": "Pr5Tm12Th2", "functional": "PBE", "state": "relaxed", "lattice_angstrom": [[7.9798, 0.0000, 0.0000], [-2.4023, 7.6272, 0.0000], [-0.7509, -3.5874, 9.9554]], "species": ["Pr", "Pr", "Pr", "Pr", "Pr", "Tm", "Tm", "Tm", "Tm", "Tm", "Tm", "Tm", "Tm", "Tm", "Tm", "Tm", "Tm", "Th", "Th"], "frac_coords": [[0.0000, 0.0000, 0.0000], [0.2112, 0.6800, 0.0511], [0.3085, 0.5246, 0.5788], [0.6915, 0.4754, 0.4212], [0.7888, 0.3200, 0.9489], [0.0537, 0.4226, 0.2668], [0.1607, 0.2591, 0.7844], [0.2599, 0.1033, 0.3198], [0.3713, 0.9487, 0.8410], [0.4178, 0.3660, 0.1038], [0.4755, 0.7946, 0.3703], [0.5245, 0.2054, 0.6297], [0.5822, 0.6340, 0.8962], [0.6287, 0.0513, 0.1590], [0.7401, 0.8967, 0.6802], [0.8393, 0.7409, 0.2156], [0.9463, 0.5774, 0.7332], [0.1065, 0.8468, 0.5273], [0.8935, 0.1532, 0.4727]], "formation_energy_ev_per_atom": 0.03, "n_ef_per_ev_atom": 1.429, "dft_energy_ev_per_atom": -4.832}

{"formula": "Pr2Tm5Th", "functional": "PBE", "state": "relaxed", "lattice_angstrom": [[16.2577, 0.0000, 0.0000], [0.0000, 5.6863, 0.0000], [-2.2049, 0.0000, 5.6159]], "species": ["Pr", "Pr", "Pr", "Pr", "Tm", "Tm", "Tm", "Tm", "Tm", "Tm", "Tm", "Tm", "Tm", "Tm", "Th", "Th"], "frac_coords": [[0.0000, 0.0000, 0.0000], [0.1425, 0.5000, 0.1781], [0.5000, 0.5000, 0.0000], [0.6425, 0.0000, 0.1781], [0.1354, 0.0000, 0.5667], [0.2572, 0.5000, 0.8076], [0.3670, 0.0000, 0.7667], [0.3749, 0.5000, 0.4096], [0.4944, 0.0000, 0.4325], [0.6354, 0.5000, 0.5667], [0.7572, 0.0000, 0.8076], [0.8670, 0.5000, 0.7667], [0.8749, 0.0000, 0.4096], [0.9944, 0.5000, 0.4325], [0.2635, 0.0000, 0.1600], [0.7635, 0.5000, 0.1600]], "formation_energy_ev_per_atom": 0.09, "n_ef_per_ev_atom": 1.347, "dft_energy_ev_per_atom": -4.827, "relative_energy_kcal_per_mol_atoms": 1.31}

{"formula": "Pr5TmTh2", "functional": "PBE", "state": "relaxed", "lattice_angstrom": [[3.5685, 0.0000, 0.0000], [0.0000, 11.5005, 0.0000], [0.0000, 0.0000, 13.4756]], "species": ["Pr", "Pr", "Pr", "Pr", "Pr", "Pr", "Pr", "Pr", "Pr", "Pr", "Tm", "Tm", "Th", "Th", "Th", "Th"], "frac_coords": [[0.0000, 0.0000, 0.0000], [0.0000, 0.2592, 0.3704], [0.0000, 0.2592, 0.6296], [0.0000, 0.7408, 0.3704], [0.0000, 0.7408, 0.6296], [0.5000, 0.2408, 0.1296], [0.5000, 0.2408, 0.8704], [0.5000, 0.5000, 0.5000], [0.5000, 0.7592, 0.1296], [0.5000, 0.7592, 0.8704], [0.0000, 0.5000, 0.0000], [0.5000, 0.0000, 0.5000], [0.0000, 0.0000, 0.2592], [0.0000, 0.0000, 0.7408], [0.5000, 0.5000, 0.2408], [0.5000, 0.5000, 0.7592]], "formation_energy_ev_per_atom": 0.11, "n_ef_per_ev_atom": 1.518, "dft_energy_ev_per_atom": -5.291}